Entry A
Crystalline Sr2AcTl at its relaxed geometry, computed with GGA-PBE.

The total magnetization comes out at 0.0 Bohr magnetons per cell.

Lattice parameters (Å, degrees): 3.9411 3.9411 10.7325 90.00 90.00 90.00
Closest atoms and distances in Å follow each position.
Fractional positions:
Sr (0.0000, 0.0000, 0.7970)  4 Tl 3.54, 4 Sr 3.94
Sr (0.0000, 0.0000, 0.2030)  4 Tl 3.54, 4 Sr 3.94
Ac (0.5000, 0.5000, 0.5000)  4 Ac 3.94, 8 Sr 4.23
Tl (0.5000, 0.5000, 0.0000)  8 Sr 3.54, 4 Tl 3.94

***

Entry B
Crystalline Sr2AcTl at its relaxed geometry, computed with GGA-PBE.

The total magnetization comes out at 0.0 Bohr magnetons per cell.

Lattice parameters (Å, degrees): 3.9852 3.9852 13.1380 81.28 81.28 60.00
Closest atoms and distances in Å follow each position.
Fractional positions:
Sr (0.1007, 0.1007, 0.6980)  3 Tl 3.44
Sr (0.8993, 0.8993, 0.3020)  3 Tl 3.44
Ac (0.0000, 0.0000, 0.0000)  2 Sr 3.91, 6 Ac 3.99
Tl (0.5000, 0.5000, 0.5000)  6 Sr 3.44

***

The structure with the greatest stability is entry A.